FeRe2SiBr | PBE-GGA | optimized geometry Values from VASP.

```
&SYSTEM
  ibrav = 0, nat = 5, ntyp = 4
/
ATOMIC_SPECIES
Fe 55.84 Fe.upf
Re 186.21 Re.upf
Si 28.09 Si.upf
Br 79.90 Br.upf
ATOMIC_POSITIONS angstrom
Fe 0.0000 0.0000 0.0000
Re 0.0000 2.2782 2.1509
Re 2.2782 0.0000 2.1509
Si 0.0000 0.0000 2.1509
Br 2.2782 2.2782 0.0000
CELL_PARAMETERS angstrom
4.5563 0.0000 0.0000
0.0000 4.5563 0.0000
0.0000 0.0000 4.3019
```

Output
* E_form (uncorrected): 1.55 eV per atom
* magnetization: 0.51 μB/atom

ScIr2Ru | PBE-GGA | optimized geometry Values from VASP.

```
&SYSTEM
  ibrav = 0, nat = 4, ntyp = 3
/
ATOMIC_SPECIES
Sc 44.96 Sc.upf
Ir 192.22 Ir.upf
Ru 101.07 Ru.upf
ATOMIC_POSITIONS angstrom
Sc 0.0000 0.0000 0.0000
Ir 1.5756 1.5756 1.5756
Ir 3.1512 3.1512 3.1512
Ru 4.7269 4.7269 4.7269
CELL_PARAMETERS angstrom
0.0000 3.1512 3.1512
3.1512 0.0000 3.1512
3.1512 3.1512 0.0000
```

Output
* relative energy among the computed polymorphs: 360 meV/atom
* magnetization: 0.07 μB/atom

SmErGa2 | PBE-GGA | optimized geometry Values from VASP.

```
&SYSTEM
  ibrav = 0, nat = 4, ntyp = 3
/
ATOMIC_SPECIES
Sm 150.36 Sm.upf
Er 167.26 Er.upf
Ga 69.72 Ga.upf
ATOMIC_POSITIONS angstrom
Sm 0.0000 0.0000 0.0000
Er -0.0033 2.0362 3.0565
Ga 2.1943 2.0362 0.7315
Ga 2.1876 0.0000 2.3949
CELL_PARAMETERS angstrom
4.3850 0.0000 0.0000
0.0000 4.0724 0.0000
-2.1894 0.0000 5.4903
```

Output
* relative energy among the computed polymorphs: 0 meV/atom
* magnetization: 0.00 μB/atom